No. 1
The following is a DFT calculation (PBE-GGA) of a relaxed LuHf2Co crystal.

POSCAR file:
```
LuHf2Co
1.0
0.000 3.379 3.379
3.379 0.000 3.379
3.379 3.379 0.000
Hf Co Lu
2 1 1
Direct
0.000 0.000 0.000
0.750 0.750 0.750
0.250 0.250 0.250
0.500 0.500 0.500
```

Results
As for the space-group type: F-43m (216). For the electronic total energy, the calculation gives -30.4 eV/cell. As for the energy of formation from the pure elements: 0.28 eV per atom.

---

No. 2
The following is a DFT calculation (PBE-GGA) of a relaxed Zr4Ta2Al3N3 crystal.

POSCAR file:
```
Zr4Ta2Al3N3
1.0
4.776 -2.757 0.000
4.776 2.757 0.000
-3.206 0.000 14.140
Zr Al Ta N
8 6 4 6
Direct
0.302 0.133 0.406
0.033 0.196 0.594
0.196 0.033 0.094
0.967 0.804 0.406
0.867 0.698 0.094
0.133 0.302 0.906
0.698 0.867 0.594
0.804 0.967 0.906
0.713 0.584 0.749
0.416 0.287 0.751
0.118 0.882 0.750
0.584 0.713 0.249
0.287 0.416 0.251
0.882 0.118 0.250
0.641 0.472 0.416
0.528 0.359 0.084
0.472 0.641 0.916
0.359 0.528 0.584
0.500 0.000 0.000
0.000 0.500 0.500
0.336 0.828 0.500
0.172 0.664 0.000
0.828 0.336 0.000
0.664 0.172 0.500
```

Results
As for the space-group type: C2/c (15). For the electronic total energy, the calculation gives -211.1 eV/cell.

---

No. 3
The following is a DFT calculation (PBE-GGA) of a relaxed Tc2GePd crystal.

POSCAR file:
```
Tc2GePd
1.0
-0.775 -4.030 -1.544
-1.956 -2.985 2.547
-4.109 -1.264 -0.863
Ge Pd Tc
1 1 2
Direct
0.500 0.500 0.500
0.250 0.250 0.250
0.000 0.000 0.000
0.750 0.750 0.750
```

Results
As for the space-group type: F-43m (216). For the electronic total energy, the calculation gives -29.9 eV/cell.

---

No. 4
The following is a DFT calculation (PBE-GGA) of a relaxed AlCuH6Ir crystal.

POSCAR file:
```
AlCuH6Ir
1.0
0.065 0.726 4.349
-3.785 0.259 2.249
-1.132 -3.222 2.791
H Al Ir Cu
6 1 1 1
Direct
0.724 0.276 0.276
0.276 0.724 0.724
0.276 0.724 0.276
0.724 0.724 0.276
0.276 0.276 0.724
0.724 0.276 0.724
0.000 0.000 0.000
0.250 0.250 0.250
0.750 0.750 0.750
```

Results
As for the space-group type: F-43m (216). For the electronic total energy, the calculation gives -30.9 eV/cell.

---

No. 5
The following is a DFT calculation (PBE-GGA) of a relaxed ZrAlAgPt crystal.

POSCAR file:
```
ZrAlAgPt
1.0
-4.525 0.946 0.004
-2.270 0.454 -4.002
-3.038 -3.228 -1.313
Ag Zr Pt Al
1 1 1 1
Direct
0.250 0.250 0.250
0.750 0.750 0.750
0.000 0.000 0.000
0.500 0.500 0.500
```

Results
As for the space-group type: F-43m (216). As for the excess energy over the best structure of this formula in the dataset: 147 meV per atom. For the electronic total energy, the calculation gives -23.1 eV/cell.

---

No. 6
The following is a DFT calculation (PBE-GGA) of a relaxed HfBe2Si crystal.

POSCAR file:
```
HfBe2Si
1.0
2.947 -3.060 0.010
-0.528 -3.450 2.422
-0.831 -3.755 -1.804
Hf Si Be
1 1 2
Direct
0.250 0.250 0.250
0.500 0.500 0.500
0.000 0.000 0.000
0.750 0.750 0.750
```

Results
As for the space-group type: F-43m (216). For the electronic total energy, the calculation gives -21.8 eV/cell.

---

No. 7
The following is a DFT calculation (PBE-GGA) of a relaxed CdFeCuAs crystal.

POSCAR file:
```
CdFeCuAs
1.0
-0.996 -2.662 3.387
-0.054 1.595 4.123
-3.842 0.481 2.134
Fe As Cu Cd
1 1 1 1
Direct
0.750 0.750 0.750
0.000 0.000 0.000
0.250 0.250 0.250
0.500 0.500 0.500
```

Results
As for the space-group type: F-43m (216). As for the excess energy over the best structure of this formula in the dataset: 0 meV per atom. For the electronic total energy, the calculation gives -16.2 eV/cell.

---

No. 8
The following is a DFT calculation (PBE-GGA) of a relaxed KPb2Au crystal.

POSCAR file:
```
KPb2Au
1.0
2.480 -9.136 0.000
2.480 9.136 0.000
0.000 0.000 8.883
Pb Au K
4 2 2
Direct
0.304 0.696 0.317
0.304 0.696 0.683
0.696 0.304 0.317
0.696 0.304 0.683
0.711 0.289 0.000
0.289 0.711 0.000
0.896 0.104 0.000
0.104 0.896 0.000
```

Results
As for the space-group type: Cmmm (65). For the electronic total energy, the calculation gives -23.3 eV/cell.